1.
The following is a PBE calculation of a relaxed LiErSc crystal, from the Alexandria database.

```
3
Lattice="3.330 0.000 0.000 -1.665 2.884 0.000 0.000 0.000 8.025" Properties=species:S:1:pos:R:3 pbc="T T T"
Li 0.000 0.000 0.000
Er 1.665 0.961 2.770
Sc 0.000 1.923 5.431
```

Properties
total moment = 0.0 μB/f.u.
symmetry = P3m1, No. 156
calculated volume = 25.7 Å³/atom
DFT formation energy = 0.141 eV/atom
E = -12.39 eV per cell
theoretical density = 4.72 g/cm3
DOS(E_F) = 4.12 states/eV/f.u.
polymorph energy (0 for the lowest one) = 0.073 eV/atom

2.
The following is a PBE calculation of a relaxed LiEr2Sc crystal, from the Alexandria database.

```
4
Lattice="1.693 0.978 10.883 -1.693 0.978 10.883 0.000 -1.955 10.883" Properties=species:S:1:pos:R:3 pbc="T T T"
Li 0.000 0.000 0.000
Er 0.000 0.000 8.127
Er 0.000 0.000 13.648
Sc 0.000 0.000 27.214
```

Properties
total moment = 0.0 μB/f.u.
symmetry = R3m, No. 160
calculated volume = 27.0 Å³/atom
DFT formation energy = 0.098 eV/atom
E = -16.98 eV per cell
theoretical density = 5.94 g/cm3
DOS(E_F) = 3.71 states/eV/f.u.
polymorph energy (0 for the lowest one) = 0.011 eV/atom